[1]
DFT (PBE) results for an optimized crystal structure of CsEr4As3.

Cell: 4.801 4.801 11.059 Å, 90.00 90.00 90.00°
Space group P4/mmm (No. 123)
Symmetry-distinct sites (fractional):
Cs: 0.000 0.000 0.000 x1
Er: 0.000 0.500 0.345 x4
As: 0.000 0.000 0.500 x1
As: 0.500 0.500 0.209 x2

calculated density = 6.69 g/cm³
final energy = -4.949 eV/atom



[2]
DFT (PBE) results for an optimized crystal structure of CsErAs.

Cell: 7.281 7.281 7.281 Å, 90.00 90.00 90.00°
Space group F-43m (No. 216)
Symmetry-distinct sites (fractional):
Cs: 0.000 0.000 0.000 x4
Er: 0.250 0.250 0.750 x4
As: 0.000 0.000 0.500 x4

calculated density = 6.46 g/cm³
final energy = -3.251 eV/atom



[3]
DFT (PBE) results for an optimized crystal structure of Cs3ErAs2.

Cell: 11.676 11.850 8.896 Å, 90.00 94.98 90.00°
Space group C2/c (No. 15)
Symmetry-distinct sites (fractional):
Cs: 0.000 0.182 0.250 x4
Cs: 0.208 0.460 0.985 x8
Er: 0.000 0.202 0.750 x4
As: 0.185 0.245 0.604 x8

calculated density = 3.88 g/cm³
final energy = -2.994 eV/atom



[4]
DFT (PBE) results for an optimized crystal structure of CsErAsO.

Cell: 3.498 7.977 8.705 Å, 90.00 90.00 90.00°
Space group Pmc2_1 (No. 26)
Symmetry-distinct sites (fractional):
Cs: 0.000 0.123 0.000 x2
Er: 0.500 0.337 0.389 x2
As: 0.500 0.369 0.710 x2
O: 0.000 0.206 0.337 x2

calculated density = 5.35 g/cm³
final energy = -5.302 eV/atom



[5]
DFT (PBE) results for an optimized crystal structure of CsFe4As2.

Cell: 4.0377 4.0377 27.9132 Å, 90.00 90.00 120.00°
Space group R-3m (No. 166, hexagonal axes)
Symmetry-distinct sites (fractional):
Cs: 0.0000 0.0000 0.0000 x3
Fe: 0.0000 0.0000 0.1477 x6
Fe: 0.0000 0.0000 0.4576 x6
As: 0.0000 0.0000 0.2366 x6

calculated density = 6.40 g/cm³
final energy = -6.380 eV/atom



[6]
DFT (PBE) results for an optimized crystal structure of CsFeAs.

Cell: 8.668 8.668 8.668 Å, 90.00 90.00 90.00°
Space group F-43m (No. 216)
Symmetry-distinct sites (fractional):
Cs: 0.000 0.000 0.000 x4
Fe: 0.250 0.250 0.250 x4
As: 0.250 0.250 0.750 x4

calculated density = 2.69 g/cm³
final energy = -2.804 eV/atom



[7]
DFT (PBE) results for an optimized crystal structure of CsGaFeAs2.

Cell: 4.004 4.004 15.813 Å, 90.00 90.00 90.00°
Space group I-4m2 (No. 119)
Symmetry-distinct sites (fractional):
Cs: 0.000 0.000 0.000 x2
Ga: 0.000 0.500 0.250 x2
Fe: 0.000 0.500 0.750 x2
As: 0.000 0.000 0.348 x4

calculated density = 5.35 g/cm³
final energy = -4.525 eV/atom



[8]
DFT (PBE) results for an optimized crystal structure of CsInFeAs2.

Cell: 4.275 4.275 15.470 Å, 90.00 90.00 90.00°
Space group I-4m2 (No. 119)
Symmetry-distinct sites (fractional):
Cs: 0.000 0.000 0.000 x2
In: 0.000 0.500 0.750 x2
Fe: 0.000 0.500 0.250 x2
As: 0.000 0.000 0.352 x4

calculated density = 5.33 g/cm³
final energy = -4.381 eV/atom



[9]
DFT (PBE) results for an optimized crystal structure of CsFeAs2Ir.

Cell: 3.971 3.971 14.969 Å, 90.00 90.00 90.00°
Space group I-4m2 (No. 119)
Symmetry-distinct sites (fractional):
Cs: 0.000 0.000 0.000 x2
Fe: 0.000 0.500 0.250 x2
As: 0.000 0.000 0.340 x4
Ir: 0.000 0.500 0.750 x2

calculated density = 7.47 g/cm³
final energy = -5.845 eV/atom



[10]
DFT (PBE) results for an optimized crystal structure of CsGdAsO.

Cell: 6.011 6.011 5.527 Å, 90.00 90.00 90.00°
Space group P4/nmm (No. 129, origin choice 2)
Symmetry-distinct sites (fractional):
Cs: 0.250 0.250 0.006 x2
Gd: 0.250 0.750 0.500 x2
As: 0.250 0.250 0.507 x2
O: 0.250 0.750 0.000 x2

calculated density = 6.34 g/cm³
final energy = -4.600 eV/atom
offset from the most stable computed form = 1.64 eV per formula unit



[11]
DFT (PBE) results for an optimized crystal structure of CsGdAsO.

Cell: 4.427 4.427 10.582 Å, 90.00 90.00 90.00°
Space group P4/nmm (No. 129, origin choice 2)
Symmetry-distinct sites (fractional):
Cs: 0.250 0.750 0.000 x2
Gd: 0.250 0.250 0.425 x2
As: 0.250 0.250 0.746 x2
O: 0.250 0.750 0.500 x2

calculated density = 6.10 g/cm³
final energy = -5.009 eV/atom
offset from the most stable computed form = 0.00 eV per formula unit



[12]
DFT (PBE) results for an optimized crystal structure of CsGdTe3As.

Cell: 4.708 16.246 12.618 Å, 90.00 90.00 90.00°
Space group Cmcm (No. 63)
Symmetry-distinct sites (fractional):
Cs: 0.000 0.241 0.250 x4
Gd: 0.000 0.500 0.000 x4
Te: 0.000 0.126 0.528 x8
Te: 0.000 0.486 0.750 x4
As: 0.000 0.072 0.750 x4

calculated density = 5.15 g/cm³
final energy = -4.065 eV/atom



Which formula does entry 12 have?
CsGdTe3As